Record 1
A relaxed structure of SrTa3Pd4S12. Source: Alexandria via LeMat-Bulk, functional GGA-PBE.

Cell: 8.1753 8.1753 8.1753 Å, 105.59 105.59 105.59°
Last column: nearest neighbours and their distance in Å.
Atoms (fractional coordinates):
Sr 0.0000 0.0000 0.0000  6 S 3.04
Ta 0.0000 0.5541 0.4459  6 S 2.34-2.56
Ta 0.4459 0.0000 0.5541  6 S 2.34-2.56
Ta 0.5541 0.4459 0.0000  6 S 2.34-2.56
Pd 0.0720 0.5000 0.9280  3 S 2.29-2.30
Pd 0.5000 0.5000 0.5000  3 S 2.29
Pd 0.5000 0.9280 0.0720  3 S 2.29-2.30
Pd 0.9280 0.0720 0.5000  3 S 2.29-2.30
S 0.0096 0.2608 0.3494  1 Pd 2.29, 1 Ta 2.34
S 0.1045 0.8955 0.5000  1 Pd 2.30, 2 Ta 2.56
S 0.2608 0.3494 0.0096  1 Pd 2.29, 1 Ta 2.34
S 0.3242 0.6758 0.5000  1 Pd 2.29, 2 Ta 2.43
S 0.3494 0.0096 0.2608  1 Pd 2.29, 1 Ta 2.34
S 0.5000 0.1045 0.8955  1 Pd 2.30, 2 Ta 2.56
S 0.5000 0.3242 0.6758  1 Pd 2.29, 2 Ta 2.43
S 0.6506 0.7392 0.9904  1 Pd 2.29, 1 Ta 2.34
S 0.6758 0.5000 0.3242  1 Pd 2.29, 2 Ta 2.43
S 0.7392 0.9904 0.6506  1 Pd 2.29, 1 Ta 2.34
S 0.8955 0.5000 0.1045  1 Pd 2.30, 2 Ta 2.56
S 0.9904 0.6506 0.7392  1 Pd 2.29, 1 Ta 2.34

Computed properties:
**Fermi-level density of states**: 0.5769 states/eV/atom
**Uncorrected energy**: -118.36 eV for the cell shown
**Formation energy without anion corrections**: -0.541 eV per atom

Record 2
A relaxed structure of K12Eu3Br5. Source: Alexandria via LeMat-Bulk, functional GGA-PBE.

Cell: 18.7408 18.7408 18.7408 Å, 109.47 109.47 109.47°
Last column: nearest neighbours and their distance in Å.
Atoms (fractional coordinates):
K 0.0120 0.1931 0.1029  2 Br 3.18-3.37
K 0.0120 0.3188 0.9090  2 Br 3.18-3.37
K 0.0902 0.6932 0.6812  2 Br 3.18-3.37
K 0.0902 0.8971 0.4090  2 Br 3.18-3.37
K 0.0910 0.6029 0.4098  2 Br 3.18-3.37
K 0.0910 0.9880 0.6812  2 Br 3.18-3.37
K 0.1029 0.0120 0.1931  2 Br 3.18-3.37
K 0.1029 0.5910 0.9098  2 Br 3.18-3.37
K 0.1812 0.1931 0.5902  2 Br 3.18-3.37
K 0.1812 0.4880 0.5910  2 Br 3.18-3.37
K 0.1931 0.1029 0.0120  2 Br 3.18-3.37
K 0.1931 0.5902 0.1812  2 Br 3.18-3.37
K 0.3068 0.3188 0.9098  2 Br 3.18-3.37
K 0.3068 0.4880 0.3971  2 Br 3.18-3.37
K 0.3188 0.9090 0.0120  2 Br 3.18-3.37
K 0.3188 0.9098 0.3068  2 Br 3.18-3.37
K 0.3971 0.3068 0.4880  2 Br 3.18-3.37
K 0.3971 0.5902 0.9090  2 Br 3.18-3.37
K 0.4090 0.0902 0.8971  2 Br 3.18-3.37
K 0.4090 0.8188 0.5120  2 Br 3.18-3.37
K 0.4098 0.0910 0.6029  2 Br 3.18-3.37
K 0.4098 0.8188 0.8068  2 Br 3.18-3.37
K 0.4880 0.3971 0.3068  2 Br 3.18-3.37
K 0.4880 0.5910 0.1812  2 Br 3.18-3.37
K 0.5120 0.4090 0.8188  2 Br 3.18-3.37
K 0.5120 0.6029 0.6932  2 Br 3.18-3.37
K 0.5902 0.1812 0.1931  2 Br 3.18-3.37
K 0.5902 0.9090 0.3971  2 Br 3.18-3.37
K 0.5910 0.1812 0.4880  2 Br 3.18-3.37
K 0.5910 0.9098 0.1029  2 Br 3.18-3.37
K 0.6029 0.4098 0.0910  2 Br 3.18-3.37
K 0.6029 0.6932 0.5120  2 Br 3.18-3.37
K 0.6812 0.0902 0.6932  2 Br 3.18-3.37
K 0.6812 0.0910 0.9880  2 Br 3.18-3.37
K 0.6932 0.5120 0.6029  2 Br 3.18-3.37
K 0.6932 0.6812 0.0902  2 Br 3.18-3.37
K 0.8068 0.4098 0.8188  2 Br 3.18-3.37
K 0.8068 0.8971 0.9880  2 Br 3.18-3.37
K 0.8188 0.5120 0.4090  2 Br 3.18-3.37
K 0.8188 0.8068 0.4098  2 Br 3.18-3.37
K 0.8971 0.4090 0.0902  2 Br 3.18-3.37
K 0.8971 0.9880 0.8068  2 Br 3.18-3.37
K 0.9090 0.0120 0.3188  2 Br 3.18-3.37
K 0.9090 0.3971 0.5902  2 Br 3.18-3.37
K 0.9098 0.1029 0.5910  2 Br 3.18-3.37
K 0.9098 0.3068 0.3188  2 Br 3.18-3.37
K 0.9880 0.6812 0.0910  2 Br 3.18-3.37
K 0.9880 0.8068 0.8971  2 Br 3.18-3.37
Eu 0.1250 0.2500 0.3750  8 K 4.39-4.40
Eu 0.1250 0.3750 0.7500  8 K 4.39-4.40
Eu 0.2500 0.3750 0.1250  8 K 4.39-4.40
Eu 0.2500 0.8750 0.6250  8 K 4.39-4.40
Eu 0.3750 0.1250 0.2500  8 K 4.39-4.40
Eu 0.3750 0.7500 0.1250  8 K 4.39-4.40
Eu 0.6250 0.2500 0.8750  8 K 4.39-4.40
Eu 0.6250 0.8750 0.7500  8 K 4.39-4.40
Eu 0.7500 0.1250 0.3750  8 K 4.39-4.40
Eu 0.7500 0.6250 0.8750  8 K 4.39-4.40
Eu 0.8750 0.6250 0.2500  8 K 4.39-4.40
Eu 0.8750 0.7500 0.6250  8 K 4.39-4.40
Br 0.0000 0.0000 0.0000  6 K 3.37
Br 0.0000 0.0000 0.5000  6 K 3.37
Br 0.0000 0.5000 0.0000  6 K 3.37
Br 0.0000 0.5000 0.5000  6 K 3.37
Br 0.1250 0.7500 0.8750  4 K 3.18
Br 0.1250 0.8750 0.2500  4 K 3.18
Br 0.2500 0.1250 0.8750  4 K 3.18
Br 0.2500 0.6250 0.3750  4 K 3.18
Br 0.3750 0.2500 0.6250  4 K 3.18
Br 0.3750 0.6250 0.7500  4 K 3.18
Br 0.5000 0.0000 0.0000  6 K 3.37
Br 0.5000 0.0000 0.5000  6 K 3.37
Br 0.5000 0.5000 0.0000  6 K 3.37
Br 0.5000 0.5000 0.5000  6 K 3.37
Br 0.6250 0.3750 0.2500  4 K 3.18
Br 0.6250 0.7500 0.3750  4 K 3.18
Br 0.7500 0.3750 0.6250  4 K 3.18
Br 0.7500 0.8750 0.1250  4 K 3.18
Br 0.8750 0.1250 0.7500  4 K 3.18
Br 0.8750 0.2500 0.1250  4 K 3.18

Computed properties:
**Fermi-level density of states**: 0.7726 states/eV/atom
**Uncorrected energy**: -255.30 eV for the cell shown
**Formation energy without anion corrections**: -0.573 eV per atom

Record 3
A relaxed structure of Pm2Dy3Tl. Source: Alexandria via LeMat-Bulk, functional GGA-PBE.

Cell: 9.5277 9.5277 9.5277 Å, 159.00 45.18 140.47°
Last column: nearest neighbours and their distance in Å.
Atoms (fractional coordinates):
Pm 0.1904 0.0000 0.1904  4 Dy 3.33-3.52, 2 Pm 3.47, 1 Tl 3.63
Pm 0.8096 0.0000 0.8096  4 Dy 3.33-3.52, 2 Pm 3.47, 1 Tl 3.63
Dy 0.3700 0.5056 0.8644  1 Tl 3.02, 1 Pm 3.33
Dy 0.6411 0.5056 0.1356  1 Tl 3.02, 1 Pm 3.33
Dy 0.7988 0.2988 0.5000  2 Tl 3.21, 6 Dy 3.47-3.50
Tl 0.2182 0.2182 0.0000  4 Dy 3.02-3.21

Computed properties:
**Fermi-level density of states**: 1.4245 states/eV/atom
**Uncorrected energy**: -24.97 eV for the cell shown
**Energy of formation**: 2.705 kcal/mol of atoms